Record 1
First-principles (PBE) data for a geometry-optimized Ba5Nb2O10 structure, as listed in Alexandria via LeMat-Bulk.

Cell: 6.135 10.888 18.378 Å, 90.00 90.00 90.00°
Space group Cmc2_1 (No. 36)
Inequivalent atoms, fractional coordinates:
1 Ba 0.000 0.004 0.000 x4
2 Ba 0.000 0.005 0.768 x4
3 Ba 0.000 0.313 0.609 x4
4 Ba 0.000 0.318 0.386 x4
5 Ba 0.000 0.347 0.159 x4
6 Nb 0.000 0.333 0.963 x4
7 Nb 0.000 0.344 0.801 x4
8 O 0.000 0.077 0.633 x4
9 O 0.000 0.194 0.866 x4
10 O 0.000 0.467 0.029 x4
11 O 0.000 0.481 0.271 x4
12 O 0.224 0.403 0.890 x8
13 O 0.227 0.228 0.006 x8
14 O 0.239 0.297 0.740 x8

ΔE_f (raw): -2.7483 eV per atom

Record 2
First-principles (PBE) data for a geometry-optimized BaNb2O6 structure, as listed in Alexandria via LeMat-Bulk.

Cell: 10.484 10.484 10.484 Å, 90.00 90.00 90.00°
Space group Fd-3m (No. 227, origin choice 2)
Inequivalent atoms, fractional coordinates:
1 Ba 0.125 0.125 0.125 x8
2 Nb 0.000 0.000 0.500 x16
3 O 0.071 0.375 0.875 x48

ΔE_f (raw): -2.6193 eV per atom

Repeat the first record exactly.
First-principles (PBE) data for a geometry-optimized Ba5Nb2O10 structure, as listed in Alexandria via LeMat-Bulk.

Cell: 6.135 10.888 18.378 Å, 90.00 90.00 90.00°
Space group Cmc2_1 (No. 36)
Inequivalent atoms, fractional coordinates:
1 Ba 0.000 0.004 0.000 x4
2 Ba 0.000 0.005 0.768 x4
3 Ba 0.000 0.313 0.609 x4
4 Ba 0.000 0.318 0.386 x4
5 Ba 0.000 0.347 0.159 x4
6 Nb 0.000 0.333 0.963 x4
7 Nb 0.000 0.344 0.801 x4
8 O 0.000 0.077 0.633 x4
9 O 0.000 0.194 0.866 x4
10 O 0.000 0.467 0.029 x4
11 O 0.000 0.481 0.271 x4
12 O 0.224 0.403 0.890 x8
13 O 0.227 0.228 0.006 x8
14 O 0.239 0.297 0.740 x8

ΔE_f (raw): -2.7483 eV per atom